[1]
Entry from Alexandria: Sr2Sn6Rh after structural relaxation (PBE-GGA).

Calculated formation energy, kJ per mole of atoms: -34.9
Symmetry: Cmmm
Uncorrected energy, eV per atom: -4.22

a = 9.574 Å, b = 9.574 Å, c = 4.074 Å
α = 90.00°, β = 90.00°, γ = 134.44°
Fractional coordinates of all 9 atoms:
Sr1 0.214 0.786 0.000
Sr2 0.786 0.214 0.000
Sn1 0.175 0.441 0.500
Sn2 0.235 0.235 0.000
Sn3 0.441 0.175 0.500
Sn4 0.559 0.825 0.500
Sn5 0.765 0.765 0.000
Sn6 0.825 0.559 0.500
Rh1 0.500 0.500 0.500

[2]
Entry from Alexandria: LaCdIn after structural relaxation (PBE-GGA).

Calculated formation energy, kJ per mole of atoms: -43.5
Symmetry: Pmma
Uncorrected energy, eV per atom: -3.31

a = 5.059 Å, b = 3.807 Å, c = 8.758 Å
α = 90.00°, β = 90.00°, γ = 90.00°
Fractional coordinates of all 6 atoms:
La1 0.250 0.000 0.246
La2 0.750 0.000 0.754
Cd1 0.250 0.500 0.577
Cd2 0.750 0.500 0.423
In1 0.250 0.500 0.911
In2 0.750 0.500 0.089

[3]
Entry from Alexandria: ReTe2Os after structural relaxation (PBE-GGA).

Uncorrected formation energy, eV per atom: 0.555
Distance to the lowest polymorph of the same formula, eV per atom: 0.153
Symmetry: R3m
Uncorrected energy, eV per atom: -6.93

a = 3.115 Å, b = 3.115 Å, c = 29.993 Å
α = 90.00°, β = 90.00°, γ = 120.00°
Fractional coordinates of all 12 atoms:
Re1 0.000 0.000 0.000
Re2 0.333 0.667 0.667
Re3 0.667 0.333 0.333
Te1 0.000 0.000 0.263
Te2 0.000 0.000 0.472
Te3 0.333 0.667 0.138
Te4 0.333 0.667 0.930
Te5 0.667 0.333 0.596
Te6 0.667 0.333 0.805
Os1 0.000 0.000 0.733
Os2 0.333 0.667 0.400
Os3 0.667 0.333 0.066

[4]
Entry from Alexandria: Dy8Pt5Rh after structural relaxation (PBE-GGA).

Calculated formation energy, kJ per mole of atoms: -102.4
Symmetry: I-4
Uncorrected energy, eV per atom: -6.37

a = 7.537 Å, b = 7.537 Å, c = 7.537 Å
α = 109.59°, β = 109.59°, γ = 109.24°
Fractional coordinates of all 14 atoms:
Dy1 0.118 0.248 0.749
Dy2 0.128 0.748 0.751
Dy3 0.252 0.003 0.379
Dy4 0.499 0.369 0.251
Dy5 0.624 0.872 0.621
Dy6 0.631 0.882 0.130
Dy7 0.752 0.501 0.870
Dy8 0.997 0.376 0.249
Pt1 0.000 0.000 0.000
Pt2 0.252 0.628 0.126
Pt3 0.372 0.497 0.624
Pt4 0.503 0.126 0.874
Pt5 0.874 0.748 0.376
Rh1 0.750 0.250 0.500

[5]
Entry from Alexandria: Li2Y2ScPd5 after structural relaxation (PBE-GGA).

Calculated formation energy, kJ per mole of atoms: -71.6
Symmetry: P4/mbm
Uncorrected energy, eV per atom: -5.65

a = 9.848 Å, b = 9.848 Å, c = 3.593 Å
α = 90.00°, β = 90.00°, γ = 90.00°
Fractional coordinates of all 20 atoms:
Li1 0.122 0.378 0.000
Li2 0.378 0.878 0.000
Li3 0.622 0.122 0.000
Li4 0.878 0.622 0.000
Y1 0.176 0.676 0.000
Y2 0.324 0.176 0.000
Y3 0.676 0.824 0.000
Y4 0.824 0.324 0.000
Sc1 0.000 0.000 0.000
Sc2 0.500 0.500 0.000
Pd1 0.000 0.500 0.500
Pd2 0.067 0.208 0.500
Pd3 0.208 0.933 0.500
Pd4 0.292 0.433 0.500
Pd5 0.433 0.708 0.500
Pd6 0.500 0.000 0.500
Pd7 0.567 0.292 0.500
Pd8 0.708 0.567 0.500
Pd9 0.792 0.067 0.500
Pd10 0.933 0.792 0.500

[6]
Entry from Alexandria: MgCo2BiPt after structural relaxation (PBE-GGA).

Calculated formation energy, kJ per mole of atoms: 89.2
Symmetry: P4/mmm
Uncorrected energy, eV per atom: -4.22

a = 4.520 Å, b = 4.520 Å, c = 4.694 Å
α = 90.00°, β = 90.00°, γ = 90.00°
Fractional coordinates of all 5 atoms:
Mg1 0.000 0.000 0.000
Co1 0.000 0.500 0.000
Co2 0.500 0.000 0.000
Bi1 0.500 0.500 0.500
Pt1 0.000 0.000 0.500

[7]
Entry from Alexandria: NiAg2Os after structural relaxation (PBE-GGA).

Calculated formation energy, kJ per mole of atoms: 65.2
Distance to the lowest polymorph of the same formula, eV per atom: 0.362
Symmetry: Pmmm
Uncorrected energy, eV per atom: -5.00

a = 2.643 Å, b = 4.302 Å, c = 5.378 Å
α = 90.00°, β = 90.00°, γ = 90.00°
Fractional coordinates of all 4 atoms:
Ni1 0.000 0.000 0.000
Ag1 0.500 0.500 0.247
Ag2 0.500 0.500 0.753
Os1 0.000 0.000 0.500

[8]
Entry from Alexandria: RbNd4Se6 after structural relaxation (PBE-GGA).

Uncorrected formation energy, eV per atom: -1.782
Distance to the lowest polymorph of the same formula, eV per atom: 0.000
Symmetry: Cmcm
Uncorrected energy, eV per atom: -5.50

a = 7.431 Å, b = 7.431 Å, c = 22.547 Å
α = 90.00°, β = 90.00°, γ = 146.57°
Fractional coordinates of all 22 atoms:
Rb1 0.154 0.846 0.750
Rb2 0.846 0.154 0.250
Nd1 0.099 0.901 0.133
Nd2 0.099 0.901 0.367
Nd3 0.368 0.632 0.041
Nd4 0.368 0.632 0.459
Nd5 0.632 0.368 0.541
Nd6 0.632 0.368 0.959
Nd7 0.901 0.099 0.633
Nd8 0.901 0.099 0.867
Se1 0.000 0.000 0.000
Se2 0.000 0.000 0.500
Se3 0.162 0.838 0.250
Se4 0.271 0.729 0.580
Se5 0.271 0.729 0.920
Se6 0.464 0.536 0.153
Se7 0.464 0.536 0.347
Se8 0.536 0.464 0.653
Se9 0.536 0.464 0.847
Se10 0.729 0.271 0.080
Se11 0.729 0.271 0.420
Se12 0.838 0.162 0.750

[9]
Entry from Alexandria: Cd3GaSn after structural relaxation (PBE-GGA).

Calculated formation energy, kJ per mole of atoms: 32.0
Distance to the lowest polymorph of the same formula, eV per atom: 0.281
Symmetry: Pm-3m
Uncorrected energy, eV per atom: -1.62

a = 5.189 Å, b = 5.189 Å, c = 5.189 Å
α = 90.00°, β = 90.00°, γ = 90.00°
Fractional coordinates of all 5 atoms:
Cd1 0.000 0.000 0.500
Cd2 0.000 0.500 0.000
Cd3 0.500 0.000 0.000
Ga1 0.000 0.000 0.000
Sn1 0.500 0.500 0.500

[10]
Entry from Alexandria: PuPa4Se8 after structural relaxation (PBE-GGA).

Uncorrected formation energy, eV per atom: -1.204
Symmetry: F-43m
Uncorrected energy, eV per atom: -7.37

a = 8.447 Å, b = 8.447 Å, c = 8.447 Å
α = 60.00°, β = 60.00°, γ = 60.00°
Fractional coordinates of all 13 atoms:
Pu1 0.000 0.000 0.000
Pa1 0.381 0.381 0.381
Pa2 0.381 0.381 0.856
Pa3 0.381 0.856 0.381
Pa4 0.856 0.381 0.381
Se1 0.137 0.137 0.137
Se2 0.137 0.137 0.588
Se3 0.137 0.588 0.137
Se4 0.139 0.620 0.620
Se5 0.588 0.137 0.137
Se6 0.620 0.139 0.620
Se7 0.620 0.620 0.139
Se8 0.620 0.620 0.620

[11]
Entry from Alexandria: Y4Ga3Ir after structural relaxation (PBE-GGA).

Calculated formation energy, kJ per mole of atoms: -67.4
Symmetry: Pmm2
Uncorrected energy, eV per atom: -6.17

a = 4.139 Å, b = 4.217 Å, c = 10.745 Å
α = 90.00°, β = 90.00°, γ = 90.00°
Fractional coordinates of all 8 atoms:
Y1 0.000 0.000 0.000
Y2 0.000 0.500 0.270
Y3 0.500 0.000 0.477
Y4 0.500 0.500 0.776
Ga1 0.000 0.000 0.707
Ga2 0.000 0.500 0.558
Ga3 0.500 0.500 0.058
Ir1 0.500 0.000 0.203

[12]
Entry from Alexandria: KAc2Sb3Pd4 after structural relaxation (PBE-GGA).

Uncorrected formation energy, eV per atom: -0.725
Symmetry: P-4m2
Uncorrected energy, eV per atom: -4.97

a = 4.738 Å, b = 4.738 Å, c = 11.170 Å
α = 90.00°, β = 90.00°, γ = 90.00°
Fractional coordinates of all 10 atoms:
K1 0.000 0.000 0.000
Ac1 0.000 0.500 0.724
Ac2 0.500 0.000 0.276
Sb1 0.000 0.500 0.377
Sb2 0.500 0.000 0.623
Sb3 0.500 0.500 0.000
Pd1 0.000 0.000 0.500
Pd2 0.000 0.500 0.146
Pd3 0.500 0.000 0.854
Pd4 0.500 0.500 0.500

It is found that the D(E_F) values, taken in the order of the records, are 0.35, 0.80, 0.69, 0.59, 0.47, 0.75, 1.35, 0.23, 0.60, 3.65, 0.94, 0.59 states/eV per atom.